# Sc2AgAu

A relaxed Sc2AgAu crystal (PBE, Alexandria via LeMat-Bulk).

The value obtained for the total magnetization is 0.00 Bohr magnetons per cell. For the offset from the most stable computed form, the calculation gives 0 meV per atom.

Cell and atoms, written as CIF:
```
data_Sc2AgAu
_chemical_formula_sum 'Sc2 Ag1 Au1'
_space_group_name_H-M_alt 'P m m 2'
_space_group_IT_number 25
_cell_length_a 3.4086
_cell_length_b 4.8329
_cell_length_c 4.8339
_cell_angle_alpha 90.00
_cell_angle_beta 90.00
_cell_angle_gamma 90.00
loop_
_space_group_symop_operation_xyz
'x,y,z'
'-x,-y,z'
'-x,y,z'
'x,-y,z'
loop_
_atom_site_label
_atom_site_type_symbol
_atom_site_fract_x
_atom_site_fract_y
_atom_site_fract_z
Sc1 Sc 0.0000 0.0000 0.0000
Sc2 Sc 0.0000 0.5000 0.4984
Ag1 Ag 0.5000 0.5000 0.9977
Au1 Au 0.5000 0.0000 0.5007
```

# PmY

A relaxed PmY crystal (PBE, Alexandria via LeMat-Bulk).

The value obtained for the total magnetization is 0.00 Bohr magnetons per cell. For the offset from the most stable computed form, the calculation gives 0 meV per atom.

Cell and atoms, written as CIF:
```
data_PmY
_chemical_formula_sum 'Pm2 Y2'
_space_group_name_H-M_alt 'P m m a'
_space_group_IT_number 51
_cell_length_a 5.7725
_cell_length_b 3.6840
_cell_length_c 6.3579
_cell_angle_alpha 90.00
_cell_angle_beta 90.00
_cell_angle_gamma 90.00
loop_
_space_group_symop_operation_xyz
'x,y,z'
'-x,-y,-z'
'-x+1/2,-y,z'
'x+1/2,y,-z'
'x+1/2,-y,-z'
'-x+1/2,y,z'
'-x,y,-z'
'x,-y,z'
loop_
_atom_site_label
_atom_site_type_symbol
_atom_site_fract_x
_atom_site_fract_y
_atom_site_fract_z
Pm1 Pm 0.2500 0.0000 0.1665
Y1 Y 0.2500 0.5000 0.6655
```

# SmEr6Tm3

A relaxed SmEr6Tm3 crystal (PBE, Alexandria via LeMat-Bulk).

The value obtained for the total magnetization is 0.01 Bohr magnetons per cell. For the offset from the most stable computed form, the calculation gives 0 meV per atom.

Cell and atoms, written as CIF:
```
data_SmEr6Tm3
_chemical_formula_sum 'Sm4 Er24 Tm12'
_space_group_name_H-M_alt 'C m c 21'
_space_group_IT_number 36
_cell_length_a 10.8662
_cell_length_b 18.7492
_cell_length_c 6.1271
_cell_angle_alpha 90.00
_cell_angle_beta 90.00
_cell_angle_gamma 90.00
loop_
_space_group_symop_operation_xyz
'x,y,z'
'-x,-y,z+1/2'
'-x,y,z'
'x,-y,z+1/2'
'x+1/2,y+1/2,z'
'-x+1/2,-y+1/2,z+1/2'
'-x+1/2,y+1/2,z'
'x+1/2,-y+1/2,z+1/2'
loop_
_atom_site_label
_atom_site_type_symbol
_atom_site_fract_x
_atom_site_fract_y
_atom_site_fract_z
Sm1 Sm 0.0000 0.2087 0.0000
Er1 Er 0.0000 0.0482 0.7551
Er2 Er 0.0000 0.2880 0.4804
Er3 Er 0.1650 0.4536 0.3658
Er4 Er 0.2459 0.2102 0.6996
Tm1 Tm 0.0000 0.3901 0.9133
Tm2 Tm 0.1738 0.1080 0.2932
```

# IrRuRh2

A relaxed IrRuRh2 crystal (PBE, Alexandria via LeMat-Bulk).

The value obtained for the total magnetization is 10.42 Bohr magnetons per cell. For the offset from the most stable computed form, the calculation gives 446 meV per atom.

Cell and atoms, written as CIF:
```
data_IrRuRh2
_chemical_formula_sum 'Ir4 Ru4 Rh8'
_space_group_name_H-M_alt 'F -4 3 m'
_space_group_IT_number 216
_space_group_name_Hall 'F -4 2 3'
_cell_length_a 6.1768
_cell_length_b 6.1768
_cell_length_c 6.1768
_cell_angle_alpha 90.00
_cell_angle_beta 90.00
_cell_angle_gamma 90.00
loop_
_atom_site_label
_atom_site_type_symbol
_atom_site_fract_x
_atom_site_fract_y
_atom_site_fract_z
Ir1 Ir 0.0000 0.0000 0.0000
Ru1 Ru 0.2500 0.2500 0.7500
Rh1 Rh 0.0000 0.0000 0.5000
Rh2 Rh 0.2500 0.2500 0.2500
```

# LaGd2Zr

A relaxed LaGd2Zr crystal (PBE, Alexandria via LeMat-Bulk).

The value obtained for the total magnetization is 14.27 Bohr magnetons per cell. For the offset from the most stable computed form, the calculation gives 41 meV per atom.

Cell and atoms, written as CIF:
```
data_LaGd2Zr
_chemical_formula_sum 'La1 Gd2 Zr1'
_space_group_name_H-M_alt 'P 4/m m m'
_space_group_IT_number 123
_space_group_name_Hall '-P 4 2'
_cell_length_a 4.9222
_cell_length_b 4.9222
_cell_length_c 5.0024
_cell_angle_alpha 90.00
_cell_angle_beta 90.00
_cell_angle_gamma 90.00
loop_
_atom_site_label
_atom_site_type_symbol
_atom_site_fract_x
_atom_site_fract_y
_atom_site_fract_z
La1 La 0.0000 0.0000 0.0000
Gd1 Gd 0.0000 0.5000 0.5000
Zr1 Zr 0.5000 0.5000 0.0000
```

# Pm6Ga2C

A relaxed Pm6Ga2C crystal (PBE, Alexandria via LeMat-Bulk).

The value obtained for the total magnetization is 0.00 Bohr magnetons per cell. For the offset from the most stable computed form, the calculation gives 0 meV per atom.

Cell and atoms, written as CIF:
```
data_Pm6Ga2C
_chemical_formula_sum 'Pm12 Ga4 C2'
_space_group_name_H-M_alt 'P 1 21/c 1'
_space_group_IT_number 14
_cell_length_a 6.5075
_cell_length_b 8.3548
_cell_length_c 10.8358
_cell_angle_alpha 90.00
_cell_angle_beta 121.22
_cell_angle_gamma 90.00
loop_
_space_group_symop_operation_xyz
'x,y,z'
'-x,-y,-z'
'-x,y+1/2,-z+1/2'
'x,-y+1/2,z+1/2'
loop_
_atom_site_label
_atom_site_type_symbol
_atom_site_fract_x
_atom_site_fract_y
_atom_site_fract_z
Pm1 Pm 0.1211 0.1442 0.4490
Pm2 Pm 0.3158 0.7176 0.4420
Pm3 Pm 0.3526 0.0397 0.2397
Ga1 Ga 0.1967 0.1128 0.7680
C1 C 0.5000 0.0000 0.5000
```

# Nd2BeAl

A relaxed Nd2BeAl crystal (PBE, Alexandria via LeMat-Bulk).

The value obtained for the total magnetization is 0.00 Bohr magnetons per cell. For the offset from the most stable computed form, the calculation gives 0 meV per atom.

Cell and atoms, written as CIF:
```
data_Nd2BeAl
_chemical_formula_sum 'Nd2 Be1 Al1'
_space_group_name_H-M_alt 'P 4/m m m'
_space_group_IT_number 123
_space_group_name_Hall '-P 4 2'
_cell_length_a 3.5961
_cell_length_b 3.5961
_cell_length_c 7.3914
_cell_angle_alpha 90.00
_cell_angle_beta 90.00
_cell_angle_gamma 90.00
loop_
_atom_site_label
_atom_site_type_symbol
_atom_site_fract_x
_atom_site_fract_y
_atom_site_fract_z
Nd1 Nd 0.0000 0.0000 0.2318
Be1 Be 0.5000 0.5000 0.0000
Al1 Al 0.5000 0.5000 0.5000
```

# KCrSe2

A relaxed KCrSe2 crystal (PBE, Alexandria via LeMat-Bulk).

The value obtained for the total magnetization is 4.00 Bohr magnetons per cell. The energy relative to the elements, uncorrected comes out at -0.719 eV/atom.

Cell and atoms, written as CIF:
```
data_KCrSe2
_chemical_formula_sum 'K4 Cr4 Se8'
_space_group_name_H-M_alt 'C 1 2/c 1'
_space_group_IT_number 15
_cell_length_a 7.2047
_cell_length_b 12.0564
_cell_length_c 5.6129
_cell_angle_alpha 90.00
_cell_angle_beta 113.23
_cell_angle_gamma 90.00
loop_
_space_group_symop_operation_xyz
'x,y,z'
'-x,-y,-z'
'-x,y,-z+1/2'
'x,-y,z+1/2'
'x+1/2,y+1/2,z'
'-x+1/2,-y+1/2,-z'
'-x+1/2,y+1/2,-z+1/2'
'x+1/2,-y+1/2,z+1/2'
loop_
_atom_site_label
_atom_site_type_symbol
_atom_site_fract_x
_atom_site_fract_y
_atom_site_fract_z
K1 K 0.0000 0.1442 0.2500
Cr1 Cr 0.0000 0.4992 0.7500
Se1 Se 0.2012 0.3919 0.1040
```

# Fe3C

A relaxed Fe3C crystal (PBE, Alexandria via LeMat-Bulk).

The uncorrected energy is -8.3384 eV per atom. The value obtained for the total magnetization is 4.41 Bohr magnetons per cell.

Cell and atoms, written as CIF:
```
data_Fe3C
_chemical_formula_sum 'Fe6 C2'
_space_group_name_H-M_alt 'I m m m'
_space_group_IT_number 71
_space_group_name_Hall '-I 2 2'
_cell_length_a 2.4885
_cell_length_b 3.9063
_cell_length_c 7.5709
_cell_angle_alpha 90.00
_cell_angle_beta 90.00
_cell_angle_gamma 90.00
loop_
_atom_site_label
_atom_site_type_symbol
_atom_site_fract_x
_atom_site_fract_y
_atom_site_fract_z
Fe1 Fe 0.0000 0.0000 0.0000
Fe2 Fe 0.0000 0.5000 0.1967
C1 C 0.0000 0.0000 0.5000
```

# Ag4GeAu7

A relaxed Ag4GeAu7 crystal (PBE, Alexandria via LeMat-Bulk).

The uncorrected energy is -3.2389 eV per atom. The value obtained for the total magnetization is 0.00 Bohr magnetons per cell.

Cell and atoms, written as CIF:
```
data_Ag4GeAu7
_chemical_formula_sum 'Ag4 Ge1 Au7'
_space_group_name_H-M_alt 'P -1'
_space_group_IT_number 2
_cell_length_a 5.2879
_cell_length_b 5.7234
_cell_length_c 8.1214
_cell_angle_alpha 109.82
_cell_angle_beta 102.96
_cell_angle_gamma 91.80
loop_
_space_group_symop_operation_xyz
'x,y,z'
'-x,-y,-z'
loop_
_atom_site_label
_atom_site_type_symbol
_atom_site_fract_x
_atom_site_fract_y
_atom_site_fract_z
Ag1 Ag 0.0907 0.4052 0.3291
Ag2 Ag 0.1033 0.9115 0.3352
Ge1 Ge 0.5000 0.5000 0.0000
Au1 Au 0.0000 0.5000 0.0000
Au2 Au 0.2489 0.0587 0.9929
Au3 Au 0.3960 0.8361 0.6589
Au4 Au 0.3971 0.3331 0.6510
```

# GdPuBi2

A relaxed GdPuBi2 crystal (PBE, Alexandria via LeMat-Bulk).

The value obtained for the total magnetization is 36.15 Bohr magnetons per cell. For the offset from the most stable computed form, the calculation gives 0 meV per atom.

Cell and atoms, written as CIF:
```
data_GdPuBi2
_chemical_formula_sum 'Gd3 Pu3 Bi6'
_space_group_name_H-M_alt 'R -3 m'
_space_group_IT_number 166
_space_group_name_Hall '-R 3 2"'
_cell_length_a 4.5373
_cell_length_b 4.5373
_cell_length_c 22.1660
_cell_angle_alpha 90.00
_cell_angle_beta 90.00
_cell_angle_gamma 120.00
loop_
_atom_site_label
_atom_site_type_symbol
_atom_site_fract_x
_atom_site_fract_y
_atom_site_fract_z
Gd1 Gd 0.0000 0.0000 0.0000
Pu1 Pu 0.0000 0.0000 0.5000
Bi1 Bi 0.0000 0.0000 0.2499
```

# Ba2Nd2Sn15

A relaxed Ba2Nd2Sn15 crystal (PBE, Alexandria via LeMat-Bulk).

The uncorrected energy is -4.1790 eV per atom. The value obtained for the total magnetization is 0.00 Bohr magnetons per cell.

Cell and atoms, written as CIF:
```
data_Ba2Nd2Sn15
_chemical_formula_sum 'Ba6 Nd6 Sn45'
_space_group_name_H-M_alt 'R -3 m'
_space_group_IT_number 166
_space_group_name_Hall '-R 3 2"'
_cell_length_a 10.5163
_cell_length_b 10.5163
_cell_length_c 18.2607
_cell_angle_alpha 90.00
_cell_angle_beta 90.00
_cell_angle_gamma 120.00
loop_
_atom_site_label
_atom_site_type_symbol
_atom_site_fract_x
_atom_site_fract_y
_atom_site_fract_z
Ba1 Ba 0.0000 0.0000 0.1544
Nd1 Nd 0.0000 0.0000 0.3912
Sn1 Sn 0.0000 0.2872 0.5000
Sn2 Sn 0.0000 0.5000 0.0000
Sn3 Sn 0.0054 0.5027 0.6314
```